Material: BaAc2FeO5
Method: DFT, PBE+U
State: optimized geometry

Values from the calculation:
magnetic moment	4.00	μB per cell
electronic total energy	-7.09	eV/atom

Cell lengths 7.138, 7.138, 5.893 Å; angles 90.00, 90.00, 90.00 degrees
Fractional positions:
Ba (0.000, 0.000, 0.000)
Ba (0.500, 0.500, 0.000)
Ac (0.175, 0.325, 0.500)
Ac (0.325, 0.825, 0.500)
Ac (0.675, 0.175, 0.500)
Ac (0.825, 0.675, 0.500)
Fe (0.000, 0.500, 0.000)
Fe (0.500, 0.000, 0.000)
O (0.000, 0.000, 0.500)
O (0.136, 0.636, 0.233)
O (0.136, 0.636, 0.767)
O (0.364, 0.136, 0.233)
O (0.364, 0.136, 0.767)
O (0.500, 0.500, 0.500)
O (0.636, 0.864, 0.233)
O (0.636, 0.864, 0.767)
O (0.864, 0.364, 0.233)
O (0.864, 0.364, 0.767)